Record 1
SiSb3Pd PBE-GGA relaxed; SG = No. 221; electronic total energy = -3.835 eV per atom; crystal system = cubic; total moment = 0.0 μB per cell; distance to the lowest polymorph of the same formula = 97 meV/atom; E_form (uncorrected) = 73.5 kJ/mol of atoms; calculated density = 6.2 Mg/m³
1.0
5.1177 0.0000 0.0000
0.0000 5.1177 0.0000
0.0000 0.0000 5.1177
Sb Si Pd
3 1 1
Direct
0.0000 0.5000 0.0000
0.0000 0.0000 0.5000
0.5000 0.0000 0.0000
0.0000 0.0000 0.0000
0.5000 0.5000 0.5000

***

Record 2
Ta2CuAs2 PBE-GGA relaxed; SG = No. 127; electronic total energy = -7.483 eV per atom; crystal system = tetragonal; energy of formation = -0.063 eV per atom; total moment = 0.0 μB per cell; calculated density = 11.4 Mg/m³
1.0
7.0896 0.0000 0.0000
0.0000 7.0896 0.0000
0.0000 0.0000 3.3269
As Cu Ta
4 2 4
Direct
0.3491 0.8491 0.0000
0.8491 0.6509 0.0000
0.6509 0.1509 0.0000
0.1509 0.3491 0.0000
0.0000 0.0000 0.0000
0.5000 0.5000 0.0000
0.1440 0.6440 0.5000
0.6440 0.8560 0.5000
0.8560 0.3560 0.5000
0.3560 0.1440 0.5000

***

Record 3
TlCoCl4 PBE-GGA relaxed; SG = No. 14; electronic total energy = -3.519 eV per atom; crystal system = monoclinic; total moment = 16.0 μB per cell; distance to the lowest polymorph of the same formula = 2 meV/atom; E_form (uncorrected) = -68.5 kJ/mol of atoms; calculated density = 3.5 Mg/m³
1.0
8.5279 0.1460 0.0000
-2.1778 9.1603 0.0000
0.0000 0.0000 9.6924
Tl Co Cl
4 4 16
Direct
0.4143 0.2244 0.8447
0.0857 0.2756 0.3447
0.9143 0.7244 0.6553
0.5857 0.7756 0.1553
0.8904 0.2013 0.8331
0.6096 0.2987 0.3331
0.3904 0.7013 0.6669
0.1096 0.7987 0.1669
0.6874 0.0317 0.8985
0.0032 0.1217 0.6549
0.7166 0.1146 0.2824
0.4273 0.2401 0.4927
0.7834 0.3854 0.7824
0.0727 0.2599 0.9927
0.4968 0.3783 0.1549
0.8126 0.4683 0.3985
0.1874 0.5317 0.6015
0.5032 0.6217 0.8451
0.9273 0.7401 0.0073
0.2166 0.6146 0.2176
0.5727 0.7599 0.5073
0.2834 0.8854 0.7176
0.9968 0.8783 0.3451
0.3126 0.9683 0.1015

***

Record 4
KGe3Se PBE-GGA relaxed; SG = No. 221; electronic total energy = -2.058 eV per atom; crystal system = cubic; total moment = 0.0 μB per cell; distance to the lowest polymorph of the same formula = 1224 meV/atom; E_form (uncorrected) = 157.2 kJ/mol of atoms; calculated density = 3.2 Mg/m³
1.0
-3.4157 -1.5695 4.0958
1.1430 -5.3303 -1.0894
4.2346 0.1728 3.5977
Ge K Se
3 1 1
Direct
0.0000 0.5000 0.0000
0.0000 0.0000 0.5000
0.5000 0.0000 0.0000
0.0000 0.0000 0.0000
0.5000 0.5000 0.5000

***

Record 5
CoCuOs PBE-GGA relaxed; SG = No. 216; electronic total energy = -6.889 eV per atom; crystal system = cubic; energy of formation = 0.588 eV per atom; total moment = 0.0 μB per cell; distance to the lowest polymorph of the same formula = 359 meV/atom; calculated density = 12.6 Mg/m³
1.0
3.8821 0.0000 0.0000
1.9411 3.3620 0.0000
1.9411 1.1207 3.1697
Co Cu Os
1 1 1
Direct
0.7500 0.7500 0.7500
0.0000 0.0000 0.0000
0.5000 0.5000 0.5000

***

Record 6
Na2Zn2AgPd5 PBE-GGA relaxed; SG = No. 127; electronic total energy = -3.635 eV per atom; crystal system = tetragonal; energy of formation = -0.234 eV per atom; total moment = 0.0 μB per cell; calculated density = 7.8 Mg/m³
1.0
3.8179 0.0000 0.0000
0.0000 9.5360 0.0000
0.0000 0.0000 9.5360
Na Zn Ag Pd
4 4 2 10
Direct
0.0000 0.6746 0.1746
0.0000 0.3254 0.8254
0.0000 0.1746 0.3254
0.0000 0.8254 0.6746
0.0000 0.1252 0.6252
0.0000 0.8748 0.3748
0.0000 0.6252 0.8748
0.0000 0.3748 0.1252
0.0000 0.0000 0.0000
0.0000 0.5000 0.5000
0.5000 0.2061 0.0676
0.5000 0.7939 0.9324
0.5000 0.0676 0.7939
0.5000 0.7061 0.4324
0.5000 0.9324 0.2061
0.5000 0.2939 0.5676
0.5000 0.5676 0.7061
0.5000 0.4324 0.2939
0.5000 0.5000 0.0000
0.5000 0.0000 0.5000